(1)
BaLa2O4: relaxed, PBEsol.

a = 6.3497 Å, b = 6.3497 Å, c = 23.1478 Å
α = 89.22°, β = 89.22°, γ = 61.11°
Atoms (fractional coordinates):
1 O 0.1228 0.2844 0.2461
2 O 0.9614 0.3763 0.8744
3 O 0.2398 0.8459 0.6228
4 O 0.1895 0.5278 0.3789
5 O 0.0769 0.2096 0.0028
6 O 0.5278 0.1895 0.8789
7 O 0.9231 0.7904 0.9972
8 O 0.0386 0.6237 0.1256
9 O 0.4722 0.8105 0.1211
10 O 0.5000 0.5000 0.0000
11 O 0.6237 0.0386 0.6256
12 O 0.7602 0.1541 0.3772
13 O 0.4803 0.5197 0.7500
14 O 0.7904 0.9231 0.4972
15 O 0.5197 0.4803 0.2500
16 O 0.8459 0.2398 0.1228
17 O 0.2096 0.0769 0.5028
18 O 0.2844 0.1228 0.7461
19 O 0.3763 0.9614 0.3744
20 O 0.7156 0.8772 0.2539
21 O 0.8105 0.4722 0.6211
22 O 0.1541 0.7602 0.8772
23 O 0.5000 0.5000 0.5000
24 O 0.8772 0.7156 0.7539
25 La 0.7700 0.5578 0.0504
26 La 0.7856 0.5558 0.1944
27 La 0.4442 0.2144 0.3056
28 La 0.5558 0.7856 0.6944
29 La 0.1160 0.8958 0.0735
30 La 0.1042 0.8840 0.4265
31 La 0.8958 0.1160 0.5735
32 La 0.2300 0.4422 0.9496
33 La 0.5578 0.7700 0.5504
34 La 0.8840 0.1042 0.9265
35 La 0.2144 0.4442 0.8056
36 La 0.4422 0.2300 0.4496
37 Ba 0.2305 0.4425 0.6491
38 Ba 0.4425 0.2305 0.1491
39 Ba 0.8829 0.1171 0.7500
40 Ba 0.1171 0.8829 0.2500
41 Ba 0.5575 0.7695 0.8509
42 Ba 0.7695 0.5575 0.3509

Uncorrected formation energy: -3.13 eV/atom
DOS at the Fermi energy: 0.00 states/eV per cell
Energy relative to the lowest polymorph listed for this composition: 0.069 eV/atom



(2)
FeRe2Rh: relaxed, PBEsol.

a = 2.6541 Å, b = 3.7755 Å, c = 5.3421 Å
α = 90.00°, β = 90.00°, γ = 90.00°
Last column: magnetic moment on the atom in μB.
Atoms (fractional coordinates):
1 Re 0.0000 0.0000 0.9849  -0.18
2 Re 0.5000 0.5000 0.2544  0.00
3 Rh 0.0000 0.0000 0.5078  0.07
4 Fe 0.5000 0.5000 0.7529  1.71

DOS at the Fermi energy: 3.98 states/eV per cell
Energy relative to the lowest polymorph listed for this composition: 0.002 eV/atom



(3)
Al4Ni15Ge: relaxed, PBEsol.

a = 3.5172 Å, b = 3.5172 Å, c = 17.5814 Å
α = 90.00°, β = 90.00°, γ = 90.00°
Last column: magnetic moment on the atom in μB.
Atoms (fractional coordinates):
1 Ni 0.5000 0.5000 0.4001  0.25
2 Ni 0.0000 0.5000 0.6998  0.23
3 Ni 0.5000 0.0000 0.3002  0.23
4 Ni 0.5000 0.5000 0.5999  0.25
5 Ni 0.0000 0.5000 0.5000  0.25
6 Ni 0.5000 0.5000 0.8003  0.20
7 Ni 0.5000 0.5000 0.0000  0.12
8 Ni 0.0000 0.5000 0.0999  0.15
9 Ni 0.5000 0.0000 0.9001  0.15
10 Ni 0.5000 0.0000 0.5000  0.25
11 Ni 0.0000 0.5000 0.9001  0.15
12 Ni 0.0000 0.5000 0.3002  0.23
13 Ni 0.5000 0.0000 0.0999  0.15
14 Ni 0.5000 0.0000 0.6998  0.23
15 Ni 0.5000 0.5000 0.1997  0.20
16 Al 0.0000 0.0000 0.6000  -0.01
17 Al 0.0000 0.0000 0.4000  -0.01
18 Al 0.0000 0.0000 0.2006  -0.01
19 Al 0.0000 0.0000 0.7994  -0.01
20 Ge 0.0000 0.0000 0.0000  -0.01

DOS at the Fermi energy: 20.61 states/eV per cell
E_tot: -122.141 eV per cell



(4)
YCdReSi2: relaxed, PBEsol.

a = 4.5862 Å, b = 4.5862 Å, c = 5.1343 Å
α = 90.00°, β = 90.00°, γ = 90.00°
Atoms (fractional coordinates):
1 Si 0.0000 0.5000 0.0000
2 Si 0.5000 0.0000 0.0000
3 Y 0.5000 0.5000 0.5000
4 Cd 0.0000 0.0000 0.5000
5 Re 0.0000 0.0000 0.0000

Uncorrected formation energy: 0.17 eV/atom
DOS at the Fermi energy: 2.49 states/eV per cell



(5)
TlIn2Hg: relaxed, PBEsol.

a = 4.5160 Å, b = 4.5160 Å, c = 5.9083 Å
α = 112.47°, β = 112.47°, γ = 90.00°
Atoms (fractional coordinates):
1 In 0.7500 0.2500 0.5000
2 In 0.2500 0.7500 0.5000
3 Tl 0.5000 0.5000 0.0000
4 Hg 0.0000 0.0000 0.0000

DOS at the Fermi energy: 2.25 states/eV per cell
E_tot: -9.114 eV per cell



(6)
SbIrI2N: relaxed, PBEsol.

a = 4.9032 Å, b = 5.5766 Å, c = 5.5766 Å
α = 90.00°, β = 90.00°, γ = 90.00°
Last column: magnetic moment on the atom in μB.
Atoms (fractional coordinates):
1 I 0.0000 0.0000 0.5000  0.05
2 I 0.0000 0.5000 0.0000  0.05
3 Ir 0.0000 0.0000 0.0000  -0.03
4 N 0.5000 0.5000 0.5000  1.83
5 Sb 0.5000 0.0000 0.0000  -0.01

Uncorrected formation energy: 1.36 eV/atom
DOS at the Fermi energy: 4.08 states/eV per cell



(7)
SiAsCl: relaxed, PBEsol.

a = 3.3045 Å, b = 3.3045 Å, c = 7.1249 Å
α = 103.41°, β = 103.41°, γ = 90.00°
Atoms (fractional coordinates):
1 As 0.0988 0.0988 0.1976
2 Si 0.5266 0.5266 0.0533
3 Cl 0.3746 0.3746 0.7491

Uncorrected formation energy: -0.23 eV/atom
DOS at the Fermi energy: 1.05 states/eV per cell
Energy relative to the lowest polymorph listed for this composition: 0.000 eV/atom



(8)
Mg2ZnRh: relaxed, PBEsol.

a = 3.1894 Å, b = 4.3904 Å, c = 5.2677 Å
α = 114.76°, β = 107.62°, γ = 90.00°
Atoms (fractional coordinates):
1 Rh 0.4889 0.4885 0.9777
2 Zn 0.7695 0.2697 0.5390
3 Mg 0.0100 0.0097 0.0201
4 Mg 0.2316 0.7321 0.4632

DOS at the Fermi energy: 1.15 states/eV per cell
E_tot: -14.463 eV per cell